No. 1
Crystalline Tb5Pm3Tm4 at its relaxed geometry. Source: Alexandria via LeMat-Bulk, functional PBE.

The size of the total moment comes out at 0.0 μB/f.u. For the volume, the calculation gives 381.66 Å³/cell. Its space group is No. 2. The calculation puts the energy of formation from the pure elements at 0.018 eV/atom. The value obtained for the total energy is -4.589 eV/atom.

Unit cell a=6.1602 b=7.1156 c=8.7070 alpha=90.09 beta=90.01 gamma=90.14
With the nearest neighbours (Å) after each atom.
Fractional coordinates of all 12 atoms:
Tb 0.0000 0.0000 0.0000  4 Tb 3.55, 4 Tm 3.56, 4 Pm 3.56
Tb 0.3344 0.5001 0.3340  3 Tb 3.54-3.57, 5 Tm 3.55-3.57, 4 Pm 3.55-3.56
Tb 0.4987 0.7517 0.9998  6 Tb 3.53-3.58, 3 Tm 3.55, 3 Pm 3.55-3.57
Tb 0.5013 0.2483 0.0002  6 Tb 3.53-3.58, 3 Tm 3.55, 3 Pm 3.55-3.57
Tb 0.6656 0.4999 0.6660  3 Tb 3.54-3.57, 5 Tm 3.55-3.57, 4 Pm 3.55-3.56
Pm 0.0000 0.5000 0.0000  8 Tb 3.55-3.57, 2 Pm 3.56, 2 Tm 3.57
Pm 0.1656 0.2489 0.6655  6 Tm 3.54-3.58, 5 Tb 3.55-3.57, 1 Pm 3.56
Pm 0.8344 0.7511 0.3345  6 Tm 3.54-3.58, 5 Tb 3.55-3.57, 1 Pm 3.56
Tm 0.1679 0.7518 0.6658  3 Tm 3.54-3.56, 4 Pm 3.54-3.58, 5 Tb 3.55-3.57
Tm 0.3341 0.0002 0.3340  4 Tm 3.54-3.56, 3 Pm 3.54-3.56, 5 Tb 3.55-3.56
Tm 0.6659 0.9998 0.6660  4 Tm 3.54-3.56, 3 Pm 3.54-3.56, 5 Tb 3.55-3.56
Tm 0.8321 0.2482 0.3342  3 Tm 3.54-3.56, 4 Pm 3.54-3.58, 5 Tb 3.55-3.57

***

No. 2
Crystalline Tb5PmTm7 at its relaxed geometry. Source: Alexandria via LeMat-Bulk, functional PBE.

The size of the total moment comes out at 0.0 μB/f.u. For the volume, the calculation gives 419.98 Å³/cell. Its space group is No. 44. The calculation puts the energy of formation from the pure elements at 0.254 eV/atom. The value obtained for the total energy is -4.300 eV/atom.

Unit cell a=8.6135 b=8.6135 c=8.6135 alpha=134.49 beta=100.87 gamma=96.36
With the nearest neighbours (Å) after each atom.
Fractional coordinates of all 13 atoms:
Tb 0.0000 0.0000 0.0000  6 Tm 3.33-3.46, 4 Tb 3.36
Tb 0.2766 0.2358 0.5034  2 Tm 3.08-3.42, 2 Tb 3.08-3.36
Tb 0.2766 0.7732 0.0408  2 Tm 3.08-3.42, 2 Tb 3.08-3.36
Tb 0.7324 0.2358 0.9592  2 Tm 3.08-3.42, 2 Tb 3.08-3.36
Tb 0.7324 0.7732 0.4966  2 Tm 3.08-3.42, 2 Tb 3.08-3.36
Pm 0.3032 0.8032 0.5000  7 Tm 3.49-3.85, 4 Tb 3.74
Tm 0.9996 0.4996 0.5000  6 Tb 3.33-3.48, 1 Pm 3.49, 1 Tm 3.50
Tm 0.0856 0.2543 0.8313  5 Tm 3.41-3.78, 5 Tb 3.45-3.46
Tm 0.4229 0.2543 0.1687  5 Tm 3.41-3.78, 5 Tb 3.45-3.46
Tm 0.5037 0.5037 0.0000  4 Tb 3.08, 4 Tm 3.39-3.41
Tm 0.5827 0.7513 0.8314  4 Tm 3.39-3.78, 5 Tb 3.40-3.48, 1 Pm 3.69
Tm 0.6949 0.1949 0.5000  7 Tm 3.50-3.87, 4 Tb 3.66
Tm 0.9199 0.7513 0.1686  4 Tm 3.39-3.78, 5 Tb 3.40-3.48, 1 Pm 3.69

***

No. 3
Crystalline Tb3PmTm7 at its relaxed geometry. Source: Alexandria via LeMat-Bulk, functional PBE.

The size of the total moment comes out at 0.0 μB/f.u. For the volume, the calculation gives 360.94 Å³/cell. Its space group is No. 156. The calculation puts the energy of formation from the pure elements at 0.195 eV/atom. The value obtained for the total energy is -4.345 eV/atom.

Unit cell a=6.9827 b=6.9827 c=8.5477 alpha=90.00 beta=90.00 gamma=120.00
With the nearest neighbours (Å) after each atom.
Fractional coordinates of all 11 atoms:
Tb 0.1671 0.3342 0.0000  4 Tb 3.48-3.50, 5 Tm 3.49-3.52, 1 Pm 3.52
Tb 0.1671 0.8329 0.0000  4 Tb 3.48-3.50, 5 Tm 3.49-3.52, 1 Pm 3.52
Tb 0.6658 0.8329 0.0000  4 Tb 3.48-3.50, 5 Tm 3.49-3.52, 1 Pm 3.52
Pm 0.0000 0.0000 0.3373  9 Tm 3.45-3.49, 3 Tb 3.52
Tm 0.0020 0.5010 0.3384  7 Tm 3.44-3.51, 2 Pm 3.49, 2 Tb 3.52
Tm 0.3319 0.1660 0.6662  1 Pm 3.45, 8 Tm 3.46-3.51, 2 Tb 3.49
Tm 0.3333 0.6667 0.6653  9 Tm 3.44-3.49, 3 Tb 3.50
Tm 0.4990 0.5010 0.3384  7 Tm 3.44-3.51, 2 Pm 3.49, 2 Tb 3.52
Tm 0.4990 0.9980 0.3384  7 Tm 3.44-3.51, 2 Pm 3.49, 2 Tb 3.52
Tm 0.8340 0.1660 0.6662  1 Pm 3.45, 8 Tm 3.46-3.51, 2 Tb 3.49
Tm 0.8340 0.6681 0.6662  1 Pm 3.45, 8 Tm 3.46-3.51, 2 Tb 3.49

***

No. 4
Crystalline Tb2Pm3Tm2 at its relaxed geometry. Source: Alexandria via LeMat-Bulk, functional PBE.

The size of the total moment comes out at 0.0 μB/f.u. For the volume, the calculation gives 231.53 Å³/cell. Its space group is No. 71. The calculation puts the energy of formation from the pure elements at 0.100 eV/atom. The value obtained for the total energy is -4.536 eV/atom.

Unit cell a=11.8369 b=11.8369 c=11.8369 alpha=162.77 beta=151.86 gamma=33.18
With the nearest neighbours (Å) after each atom.
Fractional coordinates of all 7 atoms:
Tb 0.0842 0.0842 0.0000  4 Pm 3.45-3.65, 3 Tb 3.55-3.82, 4 Tm 3.58
Tb 0.9158 0.9158 0.0000  4 Pm 3.45-3.65, 3 Tb 3.55-3.82, 4 Tm 3.58
Pm 0.2249 0.7249 0.5000  4 Tm 3.51-3.61, 6 Pm 3.55-3.57, 2 Tb 3.65
Pm 0.5000 0.0000 0.5000  4 Tb 3.45, 2 Pm 3.55, 4 Tm 3.57
Pm 0.7751 0.2751 0.5000  4 Tm 3.51-3.61, 6 Pm 3.55-3.57, 2 Tb 3.65
Tm 0.3637 0.3637 0.0000  6 Pm 3.51-3.61, 2 Tm 3.55, 4 Tb 3.58
Tm 0.6363 0.6363 0.0000  6 Pm 3.51-3.61, 2 Tm 3.55, 4 Tb 3.58

***

No. 5
Crystalline TbPm2Tm2 at its relaxed geometry. Source: Alexandria via LeMat-Bulk, functional PBE.

The size of the total moment comes out at 0.0 μB/f.u. For the volume, the calculation gives 320.47 Å³/cell. Its space group is No. 12. The calculation puts the energy of formation from the pure elements at 0.019 eV/atom. The value obtained for the total energy is -4.596 eV/atom.

Unit cell a=6.1683 b=6.1683 c=11.2977 alpha=90.04 beta=90.04 gamma=48.21
With the nearest neighbours (Å) after each atom.
Fractional coordinates of all 10 atoms:
Tb 0.0503 0.0503 0.3526  1 Tb 3.52, 7 Tm 3.54-3.57, 4 Pm 3.55-3.58
Tb 0.9497 0.9497 0.6474  1 Tb 3.52, 7 Tm 3.54-3.57, 4 Pm 3.55-3.58
Pm 0.1493 0.1493 0.0512  6 Pm 3.56-3.62, 5 Tm 3.56-3.59, 1 Tb 3.58
Pm 0.2488 0.2488 0.7469  6 Tm 3.54-3.57, 3 Tb 3.55-3.57, 3 Pm 3.59-3.62
Pm 0.7512 0.7512 0.2531  6 Tm 3.54-3.57, 3 Tb 3.55-3.57, 3 Pm 3.59-3.62
Pm 0.8507 0.8507 0.9488  6 Pm 3.56-3.62, 5 Tm 3.56-3.59, 1 Tb 3.58
Tm 0.3506 0.3506 0.4501  3 Pm 3.54, 5 Tb 3.54-3.56, 4 Tm 3.55-3.57
Tm 0.4507 0.4507 0.1519  2 Tm 3.55-3.61, 8 Pm 3.56-3.59, 2 Tb 3.57
Tm 0.5493 0.5493 0.8481  2 Tm 3.55-3.61, 8 Pm 3.56-3.59, 2 Tb 3.57
Tm 0.6494 0.6494 0.5499  3 Pm 3.54, 5 Tb 3.54-3.56, 4 Tm 3.55-3.57

***

No. 6
Crystalline Tb2Pm3Tm at its relaxed geometry. Source: Alexandria via LeMat-Bulk, functional PBE.

The size of the total moment comes out at 0.0 μB/f.u. For the volume, the calculation gives 394.77 Å³/cell. Its space group is No. 15. The calculation puts the energy of formation from the pure elements at 0.009 eV/atom. The value obtained for the total energy is -4.655 eV/atom.

Unit cell a=9.6486 b=9.6486 c=6.2742 alpha=102.55 beta=102.55 gamma=44.05
With the nearest neighbours (Å) after each atom.
Fractional coordinates of all 12 atoms:
Tb 0.0414 0.2894 0.0286  2 Tm 3.55, 7 Pm 3.56-3.64, 3 Tb 3.61-3.62
Tb 0.2894 0.0414 0.5286  2 Tm 3.55, 7 Pm 3.56-3.64, 3 Tb 3.61-3.62
Tb 0.7106 0.9586 0.4714  2 Tm 3.55, 7 Pm 3.56-3.64, 3 Tb 3.61-3.62
Tb 0.9586 0.7106 0.9714  2 Tm 3.55, 7 Pm 3.56-3.64, 3 Tb 3.61-3.62
Pm 0.2075 0.4588 0.4744  5 Pm 3.56-3.63, 1 Tm 3.58, 6 Tb 3.59-3.64
Pm 0.3734 0.6266 0.2500  2 Tb 3.56, 6 Pm 3.58-3.63, 4 Tm 3.59-3.65
Pm 0.4588 0.2075 0.9744  5 Pm 3.56-3.63, 1 Tm 3.58, 6 Tb 3.59-3.64
Pm 0.5412 0.7925 0.0256  5 Pm 3.56-3.63, 1 Tm 3.58, 6 Tb 3.59-3.64
Pm 0.6266 0.3734 0.7500  2 Tb 3.56, 6 Pm 3.58-3.63, 4 Tm 3.59-3.65
Pm 0.7925 0.5412 0.5256  5 Pm 3.56-3.63, 1 Tm 3.58, 6 Tb 3.59-3.64
Tm 0.1225 0.8775 0.7500  4 Tb 3.55, 6 Pm 3.58-3.65, 2 Tm 3.60
Tm 0.8775 0.1225 0.2500  4 Tb 3.55, 6 Pm 3.58-3.65, 2 Tm 3.60